Record 1
Here is a relaxed structure of Tb4Pm2Pr3 from Alexandria via LeMat-Bulk. Energies are from PBE.

Unit cell a=6.4844 b=9.9973 c=9.9973 alpha=87.57 beta=78.23 gamma=78.23
With the nearest neighbours (Å) after each atom.
Element x y z (fractional)
Tb: 0.0307 0.1650 0.0327  4 Tb 3.31-3.51, 1 Pm 3.51, 3 Pr 3.59-3.69
Tb: 0.9693 0.8350 0.9673  4 Tb 3.31-3.51, 1 Pm 3.51, 3 Pr 3.59-3.69
Tb: 0.8902 0.7650 0.6507  3 Pr 3.25-3.62, 4 Tb 3.31-3.61, 2 Pm 3.47-3.49
Tb: 0.1098 0.2350 0.3493  3 Pr 3.25-3.62, 4 Tb 3.31-3.61, 2 Pm 3.47-3.49
Tb: 0.6098 0.3493 0.2350  3 Pr 3.25-3.62, 4 Tb 3.31-3.61, 2 Pm 3.47-3.49
Tb: 0.5307 0.0327 0.1650  4 Tb 3.31-3.51, 1 Pm 3.51, 3 Pr 3.59-3.69
Tb: 0.3902 0.6507 0.7650  3 Pr 3.25-3.62, 4 Tb 3.31-3.61, 2 Pm 3.47-3.49
Tb: 0.4693 0.9673 0.8350  4 Tb 3.31-3.51, 1 Pm 3.51, 3 Pr 3.59-3.69
Pr: 0.2500 0.5388 0.4612  4 Tb 3.25-3.62, 2 Pr 3.41, 2 Pm 3.51
Pr: 0.5102 0.3087 0.9087  6 Tb 3.51-3.82, 3 Pm 3.61-3.92, 1 Pr 3.74
Pr: 0.7500 0.4612 0.5388  4 Tb 3.25-3.62, 2 Pr 3.41, 2 Pm 3.51
Pr: 0.0102 0.9087 0.3087  6 Tb 3.51-3.82, 3 Pm 3.61-3.92, 1 Pr 3.74
Pr: 0.9898 0.0913 0.6913  6 Tb 3.51-3.82, 3 Pm 3.61-3.92, 1 Pr 3.74
Pr: 0.4898 0.6913 0.0913  6 Tb 3.51-3.82, 3 Pm 3.61-3.92, 1 Pr 3.74
Pm: 0.5030 0.1787 0.5453  3 Tb 3.47-3.51, 4 Pr 3.51-3.78, 1 Pm 3.73
Pm: 0.4970 0.8213 0.4547  3 Tb 3.47-3.51, 4 Pr 3.51-3.78, 1 Pm 3.73
Pm: 0.9970 0.4547 0.8213  3 Tb 3.47-3.51, 4 Pr 3.51-3.78, 1 Pm 3.73
Pm: 0.0030 0.5453 0.1787  3 Tb 3.47-3.51, 4 Pr 3.51-3.78, 1 Pm 3.73

E above lowest polymorph (eV per formula unit): 0.90
ΔH_f (0 K) (kJ/mol of atoms): 11.2
Volume (Å³ per atom): 34.51
Crystal system: monoclinic
Size of the total moment (μB per cell): 0.00
Symmetry: C2/c (15)
DFT total energy (eV per cell): -82.6

Record 2
Here is a relaxed structure of Tb4Pm3Pr4 from Alexandria via LeMat-Bulk. Energies are from PBE.

Unit cell a=3.5837 b=11.4905 c=11.1330 alpha=121.07 beta=99.26 gamma=90.00
With the nearest neighbours (Å) after each atom.
Element x y z (fractional)
Pr: 0.7893 0.2893 0.5785  6 Tb 3.47-3.60, 2 Pr 3.58, 2 Pm 3.84
Pr: 0.5000 0.7832 0.0000  2 Tb 3.26, 2 Pr 3.58
Pr: 0.2107 0.7107 0.4215  6 Tb 3.47-3.60, 2 Pr 3.58, 2 Pm 3.84
Pr: 0.5000 0.2168 0.0000  2 Tb 3.26, 2 Pr 3.58
Tb: 0.6729 0.4217 0.3457  4 Pr 3.26-3.60, 4 Tb 3.40-3.58, 2 Pm 3.59
Tb: 0.3271 0.0760 0.6543  4 Pr 3.26-3.60, 4 Tb 3.40-3.58, 2 Pm 3.59
Tb: 0.6729 0.9240 0.3457  4 Pr 3.26-3.60, 4 Tb 3.40-3.58, 2 Pm 3.59
Tb: 0.3271 0.5783 0.6543  4 Pr 3.26-3.60, 4 Tb 3.40-3.58, 2 Pm 3.59
Pm: 0.8921 0.8921 0.7842  2 Pm 3.58, 4 Tb 3.59, 6 Pr 3.67-3.84
Pm: 0.1079 0.1079 0.2158  2 Pm 3.58, 4 Tb 3.59, 6 Pr 3.67-3.84
Pm: 0.0000 0.5000 0.0000  2 Pm 3.58, 6 Pr 3.71-3.95

E above lowest polymorph (eV per formula unit): 0.38
ΔH_f (0 K) (kJ/mol of atoms): 15.5
Volume (Å³ per atom): 35.06
Crystal system: orthorhombic
Size of the total moment (μB per cell): 0.00
Symmetry: Immm (71)
DFT total energy (eV per cell): -50.1

Record 3
Here is a relaxed structure of Tb2PmPr2 from Alexandria via LeMat-Bulk. Energies are from PBE.

Unit cell a=3.6402 b=3.6402 c=14.9829 alpha=83.02 beta=83.02 gamma=60.00
With the nearest neighbours (Å) after each atom.
Element x y z (fractional)
Pr: 0.2013 0.2013 0.3960  3 Tb 3.63, 9 Pr 3.64-3.73
Pr: 0.7987 0.7987 0.6040  3 Tb 3.63, 9 Pr 3.64-3.73
Pm: 0.0000 0.0000 0.0000  6 Tb 3.60, 6 Pm 3.64
Tb: 0.3989 0.3989 0.8032  3 Pm 3.60, 3 Pr 3.63, 6 Tb 3.64
Tb: 0.6011 0.6011 0.1968  3 Pm 3.60, 3 Pr 3.63, 6 Tb 3.64

E above lowest polymorph (eV per formula unit): 0.00
ΔH_f (0 K) (kJ/mol of atoms): 1.2
Volume (Å³ per atom): 34.05
Crystal system: trigonal
Size of the total moment (μB per cell): 0.00
Symmetry: R-3m (166)
DFT total energy (eV per cell): -23.5